Computed, not measured: ZnB2AsO after structural relaxation at the PBE level of DFT.

Lattice parameters (Å, degrees): 3.670 3.670 5.542 90.00 90.00 90.00
Atoms (fractional coordinates):
Zn  0.000  0.000  0.000
B  0.000  0.500  0.000
B  0.500  0.000  0.000
As  0.000  0.000  0.500
O  0.500  0.500  0.500

Summary:
- Raw formation energy: 1506 meV/atom
- SG: P4/mmm, No. 123

***

Computed, not measured: LaMnSn2 after structural relaxation at the PBE level of DFT.

Lattice parameters (Å, degrees): 9.859 9.859 9.859 149.65 149.65 43.45
Atoms (fractional coordinates):
La  0.000  0.000  0.000
La  0.750  0.250  0.500
Mn  0.250  0.750  0.500
Mn  0.500  0.500  0.000
Sn  0.237  0.625  0.112
Sn  0.375  0.487  0.612
Sn  0.513  0.125  0.888
Sn  0.875  0.763  0.388

Summary:
- E_form: 1 meV per atom
- SG: I-42d, No. 122

***

Which formula does entry 1 have?
ZnB2AsO